This record from the Alexandria database describes an optimized crystal structure of LiCo5O8. The functional is PBEsol.

Calculated values
The raw total energy comes out at -0.259 Ha/atom. As for the crystal system: cubic. For the volume, the calculation gives 503.1 Å³/cell. The calculation puts the formation energy (no corrections) at -1146 meV/atom. As for the space-group type: P4_332 (212).

POSCAR file:
```
LiCo5O8
1.0
-0.3569 -1.9702 -7.6974
-4.0549 -6.5811 1.8725
-6.8330 4.0084 -0.7091
O Co Li
32 20 4
direct
0.1295 0.3897 0.1079 O
0.3604 0.3794 0.8579 O
0.8579 0.3604 0.3794 O
0.8794 0.6421 0.6396 O
0.6079 0.3705 0.6103 O
0.6421 0.6396 0.8794 O
0.3648 0.6352 0.1352 O
0.3897 0.1079 0.1295 O
0.3794 0.8579 0.3604 O
0.3921 0.8705 0.8897 O
0.3705 0.6103 0.6079 O
0.1396 0.6206 0.3579 O
0.8705 0.8897 0.3921 O
0.6295 0.1103 0.8921 O
0.6206 0.3579 0.1396 O
0.1103 0.8921 0.6295 O
0.6103 0.6079 0.3705 O
0.8648 0.8648 0.8648 O
0.6148 0.8853 0.1148 O
0.3852 0.3852 0.3852 O
0.1148 0.6148 0.8853 O
0.1079 0.1295 0.3897 O
0.8921 0.6295 0.1103 O
0.6396 0.8794 0.6421 O
0.1206 0.1421 0.8604 O
0.8604 0.1206 0.1421 O
0.6352 0.1352 0.3648 O
0.1421 0.8604 0.1206 O
0.8853 0.1148 0.6148 O
0.8897 0.3921 0.8705 O
0.3579 0.1396 0.6206 O
0.1352 0.3648 0.6352 O
0.6257 0.8750 0.8757 Co
0.7459 0.2541 0.7541 Co
0.3743 0.3750 0.6243 Co
0.8743 0.1250 0.3757 Co
0.3750 0.6243 0.3743 Co
0.8750 0.8757 0.6257 Co
0.7541 0.7459 0.2541 Co
0.5042 0.4958 0.9958 Co
0.6250 0.1243 0.1257 Co
0.8757 0.6257 0.8750 Co
0.1257 0.6250 0.1243 Co
0.4958 0.9958 0.5042 Co
0.2459 0.2459 0.2459 Co
0.9958 0.5042 0.4958 Co
0.0042 0.0042 0.0042 Co
0.2541 0.7541 0.7459 Co
0.6243 0.3743 0.3750 Co
0.3757 0.8743 0.1250 Co
0.1250 0.3757 0.8743 Co
0.1243 0.1257 0.6250 Co
0.3752 0.1248 0.8752 Li
0.8752 0.3752 0.1248 Li
0.6248 0.6248 0.6248 Li
0.1248 0.8752 0.3752 Li
```